# 1
Compound: HoTm2S2
Source: the Alexandria database
Functional: PBE
Structure: optimized geometry

## Properties
E_form (uncorrected) (eV/f.u.): -7.8
Total magnetization (μB per atom): 0.083
N(E_F) (states/eV/f.u.): 3.66

```
HoTm2S2
1.0
1.883 1.087 9.432
-1.883 1.087 9.432
0.000 -2.174 9.432
Ho Tm S
1 2 2
direct
0.000 0.000 0.000
0.215 0.215 0.215
0.785 0.785 0.785
0.392 0.392 0.392
0.608 0.608 0.608
```

---

# 2
Compound: HoTmS3
Source: the Alexandria database
Functional: PBE
Structure: optimized geometry

## Properties
Polymorph energy (0 for the lowest one) (eV per formula unit): 0.00
E_form (uncorrected) (eV/f.u.): -10.2
Total magnetization (μB per atom): 0.000

```
HoTmS3
1.0
7.679 0.000 0.000
0.000 3.846 0.000
-0.628 0.000 7.667
Ho Tm S
2 2 6
direct
0.118 0.250 0.270
0.882 0.750 0.730
0.354 0.750 0.819
0.646 0.250 0.181
0.122 0.250 0.887
0.179 0.750 0.518
0.397 0.750 0.179
0.603 0.250 0.821
0.821 0.250 0.482
0.878 0.750 0.113
```

---

# 3
Compound: Ho3Tm2S8
Source: the Alexandria database
Functional: PBE
Structure: optimized geometry

## Properties
E_form (uncorrected) (eV/f.u.): -24.3
Total magnetization (μB per atom): 0.000
N(E_F) (states/eV/f.u.): 6.96

```
Ho3Tm2S8
1.0
6.782 -3.918 0.000
6.782 3.918 0.000
-2.284 0.000 6.232
Ho Tm S
3 2 8
direct
0.000 0.000 0.000
0.263 0.737 0.500
0.737 0.263 0.500
0.261 0.261 0.842
0.739 0.739 0.158
0.110 0.640 0.085
0.118 0.118 0.430
0.360 0.890 0.915
0.382 0.382 0.597
0.618 0.618 0.403
0.640 0.110 0.085
0.882 0.882 0.570
0.890 0.360 0.915
```